(1)
# MnAuI3

An optimized crystal structure of MnAuI3 (GGA-PBE, the Alexandria database).

Electronic total energy, eV per cell: -14.9
Offset from the most stable computed form, eV per formula unit: 0.72
Formation energy from raw total energies, eV per atom: 0.432
SG: No. 221

POSCAR file:
```
MnAuI3
1.0
5.689 0.000 0.000
0.000 5.689 0.000
0.000 0.000 5.689
Mn Au I
1 1 3
direct
0.000 0.000 0.000
0.500 0.500 0.500
0.000 0.500 0.500
0.500 0.000 0.500
0.500 0.500 0.000
```

***

(2)
# Ba2OsW

An optimized crystal structure of Ba2OsW (GGA-PBE, the Alexandria database).

ΔE_f, meV/atom: 663.1
Electronic total energy, eV per cell: -50.8
Offset from the most stable computed form, eV per formula unit: 1.04
SG: No. 71

POSCAR file:
```
Ba2OsW
1.0
3.472 0.000 0.000
0.000 3.872 0.000
0.000 0.000 19.524
Ba Os W
4 2 2
direct
0.000 0.000 0.144
0.000 0.000 0.856
0.500 0.500 0.356
0.500 0.500 0.644
0.000 0.500 0.500
0.500 0.000 0.000
0.000 0.500 0.000
0.500 0.000 0.500
```

***

(3)
# Sc2Rh

An optimized crystal structure of Sc2Rh (GGA-PBE, the Alexandria database).

ΔE_f, meV/atom: -672.2
Electronic total energy, eV per cell: -88.1
SG: No. 63

POSCAR file:
```
Sc2Rh
1.0
3.411 0.000 0.000
0.000 14.285 0.000
0.000 0.000 4.735
Sc Rh
8 4
direct
0.000 0.073 0.250
0.000 0.221 0.750
0.000 0.779 0.250
0.000 0.927 0.750
0.500 0.279 0.250
0.500 0.427 0.750
0.500 0.573 0.250
0.500 0.721 0.750
0.000 0.422 0.250
0.000 0.578 0.750
0.500 0.078 0.750
0.500 0.922 0.250
```

***

(4)
# RuPt2Cl

An optimized crystal structure of RuPt2Cl (GGA-PBE, the Alexandria database).

Electronic total energy, eV per cell: -42.6
Offset from the most stable computed form, eV per formula unit: 0.95
Formation energy from raw total energies, eV per atom: 0.473
SG: No. 12

POSCAR file:
```
RuPt2Cl
1.0
12.198 0.000 0.000
0.000 2.756 0.000
-1.491 0.000 4.002
Ru Pt Cl
2 4 2
direct
0.000 0.000 0.000
0.500 0.500 0.000
0.209 0.500 0.209
0.291 0.000 0.791
0.709 0.000 0.209
0.791 0.500 0.791
0.000 0.500 0.500
0.500 0.000 0.500
```

***

(5)
# BaNb

An optimized crystal structure of BaNb (GGA-PBE, the Alexandria database).

ΔE_f, meV/atom: 2497.5
Electronic total energy, eV per cell: -42.0
Offset from the most stable computed form, eV per formula unit: 3.82
SG: No. 223

POSCAR file:
```
BaNb
1.0
9.794 0.000 0.000
0.000 9.794 0.000
0.000 0.000 9.794
Ba Nb
6 6
direct
0.000 0.250 0.500
0.000 0.750 0.500
0.250 0.500 0.000
0.500 0.000 0.250
0.500 0.000 0.750
0.750 0.500 0.000
0.000 0.500 0.250
0.000 0.500 0.750
0.250 0.000 0.500
0.500 0.250 0.000
0.500 0.750 0.000
0.750 0.000 0.500
```

***

(6)
# Eu3Nb5N12

An optimized crystal structure of Eu3Nb5N12 (GGA-PBE, the Alexandria database).

Electronic total energy, eV per cell: -780.6
Formation energy from raw total energies, eV per atom: -0.704
SG: No. 230

POSCAR file:
```
Eu3Nb5N12
1.0
-6.570 6.570 6.570
6.570 -6.570 6.570
6.570 6.570 -6.570
Eu Nb N
12 20 48
direct
0.125 0.250 0.375
0.125 0.375 0.750
0.250 0.375 0.125
0.250 0.875 0.625
0.375 0.125 0.250
0.375 0.750 0.125
0.625 0.250 0.875
0.625 0.875 0.750
0.750 0.125 0.375
0.750 0.625 0.875
0.875 0.625 0.250
0.875 0.750 0.625
0.000 0.000 0.000
0.000 0.000 0.500
0.000 0.500 0.000
0.000 0.500 0.500
0.125 0.750 0.875
0.125 0.875 0.250
0.250 0.125 0.875
0.250 0.625 0.375
0.375 0.250 0.625
0.375 0.625 0.750
0.500 0.000 0.000
0.500 0.000 0.500
0.500 0.500 0.000
0.500 0.500 0.500
0.625 0.375 0.250
0.625 0.750 0.375
0.750 0.375 0.625
0.750 0.875 0.125
0.875 0.125 0.750
0.875 0.250 0.125
0.023 0.202 0.118
0.023 0.321 0.904
0.083 0.702 0.679
0.083 0.882 0.404
0.096 0.618 0.417
0.096 0.977 0.679
0.118 0.023 0.202
0.118 0.596 0.917
0.179 0.202 0.583
0.179 0.477 0.596
0.202 0.118 0.023
0.202 0.583 0.179
0.298 0.321 0.917
0.298 0.477 0.382
0.321 0.904 0.023
0.321 0.917 0.298
0.382 0.298 0.477
0.382 0.583 0.904
0.404 0.083 0.882
0.404 0.821 0.523
0.417 0.096 0.618
0.417 0.821 0.798
0.477 0.382 0.298
0.477 0.596 0.179
0.523 0.404 0.821
0.523 0.618 0.702
0.583 0.179 0.202
0.583 0.904 0.382
0.596 0.179 0.477
0.596 0.917 0.118
0.618 0.417 0.096
0.618 0.702 0.523
0.679 0.083 0.702
0.679 0.096 0.977
0.702 0.523 0.618
0.702 0.679 0.083
0.798 0.417 0.821
0.798 0.882 0.977
0.821 0.523 0.404
0.821 0.798 0.417
0.882 0.404 0.083
0.882 0.977 0.798
0.904 0.023 0.321
0.904 0.382 0.583
0.917 0.118 0.596
0.917 0.298 0.321
0.977 0.679 0.096
0.977 0.798 0.882
```

***

| no. | total magnetic moment (μB/atom) | density of states at the Fermi level (states/eV/f.u.) |
| --- | --- | --- |
| 1 | 1.183 | 2.3 |
| 2 | 0.142 | 3.9 |
| 3 | 0.000 | 2.9 |
| 4 | 0.000 | 6.4 |
| 5 | 2.643 | 2.2 |
| 6 | 0.796 | 14.3 |